# 1
Entry from Alexandria: crystalline Hf4Pd12Pt at its relaxed geometry (GGA-PBE).

## Properties
For the density of states at the Fermi level, the calculation gives 5.59 states/eV/f.u. The volume is 579.4 Å³ per cell. The energy of formation from the pure elements is -0.4993 eV/atom. For the electronic total energy, the calculation gives -6.862 eV/atom.

abc: 8.3365 8.3365 8.3365
angles: 90.00 90.00 90.00
Space group Im-3m (No. 229)
One atom of each set of equivalent atoms:
Hf1 0.2500 0.2500 0.2500 [8 per cell]
Pd1 0.0000 0.0000 0.2998 [12 per cell]
Pd2 0.0000 0.2500 0.5000 [12 per cell]
Pt1 0.0000 0.0000 0.0000 [2 per cell]

=====

# 2
Entry from Alexandria: crystalline LiPrEuEr at its relaxed geometry (GGA-PBE).

## Properties
For the density of states at the Fermi level, the calculation gives 4.76 states/eV/f.u. The volume is 518.5 Å³ per cell. The energy of formation from the pure elements is 0.1907 eV/atom. For the electronic total energy, the calculation gives -5.192 eV/atom.

abc: 8.0339 8.0339 8.0339
angles: 90.00 90.00 90.00
Space group F-43m (No. 216)
One atom of each set of equivalent atoms:
Li1 0.0000 0.0000 0.0000 [4 per cell]
Pr1 0.2500 0.2500 0.2500 [4 per cell]
Eu1 0.2500 0.2500 0.7500 [4 per cell]
Er1 0.0000 0.0000 0.5000 [4 per cell]

=====

# 3
Entry from Alexandria: crystalline LiAgP at its relaxed geometry (GGA-PBE).

## Properties
For the density of states at the Fermi level, the calculation gives 1.92 states/eV/f.u. The volume is 206.4 Å³ per cell. The energy of formation from the pure elements is -0.1185 eV/atom. Its energy relative to the lowest polymorph listed for this composition is 143 meV/atom. For the electronic total energy, the calculation gives -3.510 eV/atom.

abc: 5.9096 5.9096 5.9096
angles: 90.00 90.00 90.00
Space group F-43m (No. 216)
One atom of each set of equivalent atoms:
Li1 0.0000 0.0000 0.0000 [4 per cell]
Ag1 0.2500 0.2500 0.7500 [4 per cell]
P1 0.0000 0.0000 0.5000 [4 per cell]

=====

# 4
Entry from Alexandria: crystalline NdInNiHg at its relaxed geometry (GGA-PBE).

## Properties
For the density of states at the Fermi level, the calculation gives 2.04 states/eV/f.u. The volume is 349.3 Å³ per cell. The energy of formation from the pure elements is -0.2513 eV/atom. For the electronic total energy, the calculation gives -3.649 eV/atom.

abc: 7.0426 7.0426 7.0426
angles: 90.00 90.00 90.00
Space group F-43m (No. 216)
One atom of each set of equivalent atoms:
Nd1 0.0000 0.0000 0.0000 [4 per cell]
In1 0.0000 0.0000 0.5000 [4 per cell]
Ni1 0.2500 0.2500 0.2500 [4 per cell]
Hg1 0.2500 0.2500 0.7500 [4 per cell]

=====

# 5
Entry from Alexandria: crystalline Ag2PtF6 at its relaxed geometry (GGA-PBE).

## Properties
Its formation energy without anion corrections is -1.28 eV per atom. The volume is 295.9 Å³ per cell. For the electronic total energy, the calculation gives -3.830 eV/atom.

abc: 5.2670 5.2670 10.6658
angles: 90.00 90.00 90.00
Space group P4_2/mnm (No. 136)
One atom of each set of equivalent atoms:
Ag1 0.0000 0.0000 0.1616 [4 per cell]
Pt1 0.0000 0.0000 0.5000 [2 per cell]
F1 0.1780 0.1780 0.3605 [8 per cell]
F2 0.2324 0.2324 0.0000 [4 per cell]

=====

# 6
Entry from Alexandria: crystalline Li3Mo at its relaxed geometry (GGA-PBE).

## Properties
For the density of states at the Fermi level, the calculation gives 3.32 states/eV/f.u. The volume is 62.6 Å³ per cell. The energy of formation from the pure elements is 0.4653 eV/atom. Its energy relative to the lowest polymorph listed for this composition is 233 meV/atom. For the electronic total energy, the calculation gives -3.678 eV/atom.

abc: 5.0104 5.0104 2.4947
angles: 90.00 90.00 90.00
Space group P4/mmm (No. 123)
One atom of each set of equivalent atoms:
Li1 0.0000 0.0000 0.0000 [1 per cell]
Li2 0.0000 0.5000 0.5000 [2 per cell]
Mo1 0.5000 0.5000 0.0000 [1 per cell]

=====

# 7
Entry from Alexandria: crystalline HgC3Cl at its relaxed geometry (GGA-PBE).

## Properties
For the density of states at the Fermi level, the calculation gives 5.12 states/eV/f.u. Its formation energy without anion corrections is 3.55 eV per atom. The volume is 86.6 Å³ per cell. Its energy relative to the lowest polymorph listed for this composition is 89 meV/atom. For the electronic total energy, the calculation gives -2.416 eV/atom.

abc: 4.4244 4.4244 4.4244
angles: 90.00 90.00 90.00
Space group Pm-3m (No. 221)
One atom of each set of equivalent atoms:
Hg1 0.0000 0.0000 0.0000 [1 per cell]
C1 0.0000 0.0000 0.5000 [3 per cell]
Cl1 0.5000 0.5000 0.5000 [1 per cell]

=====

# 8
Entry from Alexandria: crystalline Nd7Tm12Sc at its relaxed geometry (GGA-PBE).

## Properties
For the density of states at the Fermi level, the calculation gives 34.63 states/eV/f.u. The volume is 1960.8 Å³ per cell. The energy of formation from the pure elements is 0.2330 eV/atom. Its energy relative to the lowest polymorph listed for this composition is 0 meV/atom. For the electronic total energy, the calculation gives -4.435 eV/atom.

abc: 11.8369 11.8369 16.1597
angles: 90.00 90.00 120.00
Space group R-3 (No. 148, hexagonal axes)
One atom of each set of equivalent atoms:
Nd1 0.0000 0.0000 0.0000 [3 per cell]
Nd2 0.0579 0.8716 0.2877 [18 per cell]
Tm1 0.0331 0.5787 0.2216 [18 per cell]
Tm2 0.0541 0.4696 0.5834 [18 per cell]
Sc1 0.0000 0.0000 0.5000 [3 per cell]

=====

# 9
Entry from Alexandria: crystalline Cs2RbICl6 at its relaxed geometry (GGA-PBE).

## Properties
For the density of states at the Fermi level, the calculation gives 0.00 states/eV/f.u. Its formation energy without anion corrections is -1.13 eV per atom. The volume is 835.4 Å³ per cell. For the electronic total energy, the calculation gives -2.656 eV/atom.

abc: 8.6263 8.6263 11.2270
angles: 90.00 90.00 90.00
Space group I4/mmm (No. 139)
One atom of each set of equivalent atoms:
Cs1 0.0000 0.5000 0.2500 [4 per cell]
Rb1 0.0000 0.0000 0.0000 [2 per cell]
I1 0.0000 0.0000 0.5000 [2 per cell]
Cl1 0.0000 0.0000 0.2783 [4 per cell]
Cl2 0.2443 0.2443 0.5000 [8 per cell]

=====

# 10
Entry from Alexandria: crystalline La3MnBi5 at its relaxed geometry (GGA-PBE).

## Properties
For the density of states at the Fermi level, the calculation gives 5.04 states/eV/f.u. The volume is 544.7 Å³ per cell. The energy of formation from the pure elements is -0.6348 eV/atom. For the electronic total energy, the calculation gives -5.452 eV/atom.

abc: 9.7951 9.7951 6.5561
angles: 90.00 90.00 120.00
Space group P6_3/mcm (No. 193)
One atom of each set of equivalent atoms:
La1 0.0000 0.3793 0.2500 [6 per cell]
Mn1 0.0000 0.0000 0.0000 [2 per cell]
Bi1 0.0000 0.2511 0.7500 [6 per cell]
Bi2 0.3333 0.6667 0.0000 [4 per cell]

=====

# 11
Entry from Alexandria: crystalline CePaNiRh at its relaxed geometry (GGA-PBE).

## Properties
For the density of states at the Fermi level, the calculation gives 7.78 states/eV/f.u. The volume is 320.6 Å³ per cell. The energy of formation from the pure elements is -0.3756 eV/atom. Its energy relative to the lowest polymorph listed for this composition is 137 meV/atom. For the electronic total energy, the calculation gives -7.516 eV/atom.

abc: 6.8442 6.8442 6.8442
angles: 90.00 90.00 90.00
Space group F-43m (No. 216)
One atom of each set of equivalent atoms:
Ce1 0.0000 0.0000 0.0000 [4 per cell]
Pa1 0.0000 0.0000 0.5000 [4 per cell]
Ni1 0.2500 0.2500 0.2500 [4 per cell]
Rh1 0.2500 0.2500 0.7500 [4 per cell]

=====

# 12
Entry from Alexandria: crystalline PrSmN at its relaxed geometry (GGA-PBE).

## Properties
For the density of states at the Fermi level, the calculation gives 3.12 states/eV/f.u. Its formation energy without anion corrections is -0.87 eV per atom. The volume is 72.9 Å³ per cell. Its energy relative to the lowest polymorph listed for this composition is 0 meV/atom. For the electronic total energy, the calculation gives -6.807 eV/atom.

abc: 3.6214 3.6214 6.4202
angles: 90.00 90.00 120.00
Space group P3m1 (No. 156)
One atom of each set of equivalent atoms:
Pr1 0.0000 0.0000 0.0000 [1 per cell]
Sm1 0.3333 0.6667 0.5694 [1 per cell]
N1 0.6667 0.3333 0.7689 [1 per cell]